The following is a DFT calculation (PBE-GGA) of a relaxed PrNd2Mg2In2 crystal.

Calculated values
- density of states at the Fermi level (states/eV/atom) = 0.66
- space-group type = R-3m, No. 166
- theoretical density (g cm⁻³) = 5.8
- energy relative to the elements (meV per atom) = -267
- spin magnetization (μB/f.u.) = 0.0

Cell: 9.553 9.553 9.553 Å, 30.73 30.73 30.73°
Sites, in units of the cell vectors:
1 Pr 0.000 0.000 0.000
2 Nd 0.130 0.130 0.130
3 Nd 0.870 0.870 0.870
4 Mg 0.401 0.401 0.401
5 Mg 0.599 0.599 0.599
6 In 0.263 0.263 0.263
7 In 0.737 0.737 0.737

=====

The following is a DFT calculation (PBE-GGA) of a relaxed CaTePd crystal.

Calculated values
- density of states at the Fermi level (states/eV/atom) = 0.00
- space-group type = Cc, No. 9
- theoretical density (g cm⁻³) = 5.9
- spin magnetization (μB/f.u.) = 0.0
- uncorrected energy (eV/atom) = -4.437

Cell: 4.956 4.956 6.309 Å, 91.29 91.29 96.93°
Sites, in units of the cell vectors:
1 Ca 0.199 0.801 0.500
2 Ca 0.801 0.199 0.000
3 Te 0.252 0.775 0.004
4 Te 0.775 0.252 0.504
5 Pd 0.320 0.330 0.732
6 Pd 0.330 0.320 0.232

=====

The following is a DFT calculation (PBE-GGA) of a relaxed Ta2MnAlBi crystal.

Calculated values
- density of states at the Fermi level (states/eV/atom) = 0.67
- space-group type = P4/mmm, No. 123
- theoretical density (g cm⁻³) = 8.9
- energy relative to the elements (meV per atom) = 1530
- spin magnetization (μB/f.u.) = 3.1

Cell: 4.802 4.802 5.262 Å, 90.00 90.00 90.00°
Sites, in units of the cell vectors:
1 Ta 0.000 0.500 0.000
2 Ta 0.500 0.000 0.000
3 Mn 0.000 0.000 0.500
4 Al 0.500 0.500 0.000
5 Bi 0.500 0.500 0.500